First-principles (PBE) data for an optimized crystal structure of Ce4CoPb2, as listed in Alexandria via LeMat-Bulk.

Calculated values
- formation enthalpy at 0 K (eV per atom) = -0.308
- Fermi-level density of states (states/eV/cell) = 35.4

a b c (Å): 6.064 6.633 9.586
angles (deg): 90.00 97.87 90.00
Space group P2_1/m (No. 11)
Inequivalent atoms, fractional coordinates:
Ce 0.176 0.250 0.079
Ce 0.237 0.750 0.386
Ce 0.270 0.535 0.730
Co 0.002 0.250 0.823
Pb 0.234 0.250 0.429
Pb 0.358 0.750 0.052

---

First-principles (PBE) data for an optimized crystal structure of Mo3H2Ru5, as listed in Alexandria via LeMat-Bulk.

Calculated values
- Fermi-level density of states (states/eV/cell) = 29.0
- E (eV per formula unit) = -85.28

a b c (Å): 7.836 11.143 5.551
angles (deg): 90.00 90.00 90.00
Space group Ibam (No. 72)
Inequivalent atoms, fractional coordinates:
Mo 0.000 0.000 0.250
Mo 0.237 0.371 0.000
H 0.000 0.132 0.000
Ru 0.000 0.254 0.250
Ru 0.000 0.500 0.250
Ru 0.244 0.377 0.500

---

First-principles (PBE) data for an optimized crystal structure of LaAl2Re, as listed in Alexandria via LeMat-Bulk.

Calculated values
- formation enthalpy at 0 K (eV per atom) = 0.149
- Fermi-level density of states (states/eV/cell) = 6.1

a b c (Å): 3.245 4.882 9.723
angles (deg): 90.00 90.00 90.00
Space group Cmmm (No. 65)
Inequivalent atoms, fractional coordinates:
La 0.000 0.000 0.000
Al 0.000 0.500 0.293
Re 0.000 0.000 0.500

---

First-principles (PBE) data for an optimized crystal structure of Tb2SeF, as listed in Alexandria via LeMat-Bulk.

Calculated values
- raw formation energy (meV/atom) = -1996
- Fermi-level density of states (states/eV/cell) = 3.1

a b c (Å): 3.8909 3.8909 23.9081
angles (deg): 90.00 90.00 120.00
Space group R-3m (No. 166, hexagonal axes)
Inequivalent atoms, fractional coordinates:
Tb 0.0000 0.0000 0.0912
Se 0.0000 0.0000 0.5000
F 0.0000 0.0000 0.0000

---

First-principles (PBE) data for an optimized crystal structure of Nd2DyEr2Tm, as listed in Alexandria via LeMat-Bulk.

Calculated values
- formation enthalpy at 0 K (eV per atom) = 0.068
- Fermi-level density of states (states/eV/cell) = 18.4

a b c (Å): 6.988 5.632 9.752
angles (deg): 90.00 90.00 90.00
Space group Pmma (No. 51)
Inequivalent atoms, fractional coordinates:
Nd 0.000 0.000 0.000
Nd 0.250 0.500 0.179
Dy 0.250 0.000 0.657
Er 0.250 0.000 0.332
Er 0.250 0.500 0.836
Tm 0.000 0.500 0.500

---

First-principles (PBE) data for an optimized crystal structure of InFe2Ag, as listed in Alexandria via LeMat-Bulk.

Calculated values
- formation enthalpy at 0 K (eV per atom) = 0.647
- Fermi-level density of states (states/eV/cell) = 13.5

a b c (Å): 7.203 7.203 5.357
angles (deg): 90.00 90.00 90.00
Space group I-42d (No. 122)
Inequivalent atoms, fractional coordinates:
In 0.000 0.000 0.000
Fe 0.245 0.250 0.625
Ag 0.000 0.000 0.500

---

First-principles (PBE) data for an optimized crystal structure of Si2TeIr, as listed in Alexandria via LeMat-Bulk.

Calculated values
- raw formation energy (meV/atom) = 133
- Fermi-level density of states (states/eV/cell) = 3.5

a b c (Å): 2.894 3.535 15.201
angles (deg): 90.00 90.00 90.00
Space group Imm2 (No. 44)
Inequivalent atoms, fractional coordinates:
Si 0.000 0.000 0.000
Si 0.000 0.500 0.196
Te 0.000 0.500 0.823
Ir 0.000 0.000 0.566

---

First-principles (PBE) data for an optimized crystal structure of BaIr2, as listed in Alexandria via LeMat-Bulk.

Calculated values
- formation enthalpy at 0 K (eV per atom) = -0.062
- Fermi-level density of states (states/eV/cell) = 3.3

a b c (Å): 4.2685 4.2685 5.0196
angles (deg): 90.00 90.00 120.00
Space group P6/mmm (No. 191)
Inequivalent atoms, fractional coordinates:
Ba 0.0000 0.0000 0.0000
Ir 0.3333 0.6667 0.5000

---

First-principles (PBE) data for an optimized crystal structure of DyHoBr2, as listed in Alexandria via LeMat-Bulk.

Calculated values
- raw formation energy (meV/atom) = -967
- Fermi-level density of states (states/eV/cell) = 7.3

a b c (Å): 3.6440 3.6440 29.9543
angles (deg): 90.00 90.00 120.00
Space group R-3m (No. 166, hexagonal axes)
Inequivalent atoms, fractional coordinates:
Dy 0.0000 0.0000 0.0000
Ho 0.0000 0.0000 0.5000
Br 0.0000 0.0000 0.4036

---

First-principles (PBE) data for an optimized crystal structure of FeOsRh2, as listed in Alexandria via LeMat-Bulk.

Calculated values
- formation enthalpy at 0 K (eV per atom) = 0.034
- Fermi-level density of states (states/eV/cell) = 7.0

a b c (Å): 3.773 3.773 7.663
angles (deg): 90.00 90.00 90.00
Space group I4/mmm (No. 139)
Inequivalent atoms, fractional coordinates:
Fe 0.000 0.000 0.000
Os 0.000 0.000 0.500
Rh 0.000 0.500 0.250

---

First-principles (PBE) data for an optimized crystal structure of Ac3PrSn2, as listed in Alexandria via LeMat-Bulk.

Calculated values
- formation enthalpy at 0 K (eV per atom) = -0.247
- Fermi-level density of states (states/eV/cell) = 47.9

a b c (Å): 8.7613 8.7613 22.3706
angles (deg): 90.00 90.00 120.00
Space group R-3c (No. 167, hexagonal axes)
Inequivalent atoms, fractional coordinates:
Ac 0.0000 0.2821 0.2500
Pr 0.0000 0.0000 0.0000
Sn 0.0000 0.0000 0.1443

---

First-principles (PBE) data for an optimized crystal structure of Sc2TlRe, as listed in Alexandria via LeMat-Bulk.

Calculated values
- formation enthalpy at 0 K (eV per atom) = -0.192
- Fermi-level density of states (states/eV/cell) = 3.7

a b c (Å): 3.348 3.366 7.209
angles (deg): 90.00 90.00 90.00
Space group Pmmm (No. 47)
Inequivalent atoms, fractional coordinates:
Sc 0.000 0.000 0.210
Tl 0.500 0.500 0.500
Re 0.500 0.500 0.000

---

Question: Number 9 is which compound?
Answer: DyHoBr2